# Mg3Ag5I12

Crystalline Mg3Ag5I12 at its relaxed geometry (PBE, the Alexandria database). Values from VASP.

The structure in Quantum ESPRESSO input format:
```
&SYSTEM
  ibrav = 0, nat = 80, ntyp = 3
/
ATOMIC_SPECIES
Mg 24.30 Mg.upf
Ag 107.87 Ag.upf
I 126.90 I.upf
CELL_PARAMETERS angstrom
-11.070 8.304 8.409
-7.420 -9.247 -11.030
8.505 -9.396 10.080
ATOMIC_POSITIONS crystal
Mg 0.750 0.375 0.125
Mg 0.875 0.750 0.125
Mg 0.375 0.750 0.625
Mg 0.250 0.125 0.375
Mg 0.875 0.125 0.250
Mg 0.375 0.625 0.250
Mg 0.625 0.375 0.750
Mg 0.125 0.875 0.750
Mg 0.750 0.875 0.625
Mg 0.625 0.250 0.375
Mg 0.125 0.250 0.875
Mg 0.250 0.625 0.875
Ag 0.125 0.375 0.250
Ag 0.000 0.500 0.000
Ag 0.000 0.000 0.000
Ag 0.375 0.250 0.125
Ag 0.500 0.000 0.500
Ag 0.500 0.500 0.000
Ag 0.125 0.750 0.375
Ag 0.750 0.125 0.875
Ag 0.750 0.625 0.375
Ag 0.375 0.125 0.750
Ag 0.625 0.875 0.250
Ag 0.500 0.500 0.500
Ag 0.500 0.000 0.000
Ag 0.000 0.000 0.500
Ag 0.250 0.375 0.625
Ag 0.250 0.875 0.125
Ag 0.000 0.500 0.500
Ag 0.875 0.250 0.625
Ag 0.625 0.750 0.875
Ag 0.875 0.625 0.750
I 0.642 0.163 0.994
I 0.352 0.494 0.331
I 0.006 0.337 0.358
I 0.494 0.142 0.163
I 0.479 0.642 0.648
I 0.006 0.669 0.148
I 0.352 0.858 0.521
I 0.169 0.021 0.163
I 0.669 0.006 0.648
I 0.642 0.479 0.148
I 0.858 0.506 0.337
I 0.852 0.831 0.994
I 0.163 0.642 0.494
I 0.337 0.331 0.979
I 0.979 0.831 0.337
I 0.521 0.163 0.669
I 0.979 0.148 0.142
I 0.506 0.648 0.169
I 0.852 0.021 0.358
I 0.163 0.521 0.169
I 0.337 0.006 0.858
I 0.669 0.663 0.521
I 0.831 0.852 0.494
I 0.858 0.352 0.021
I 0.331 0.337 0.479
I 0.169 0.148 0.506
I 0.142 0.648 0.979
I 0.148 0.979 0.642
I 0.663 0.994 0.142
I 0.837 0.479 0.831
I 0.494 0.352 0.831
I 0.479 0.837 0.331
I 0.021 0.852 0.858
I 0.021 0.169 0.663
I 0.837 0.358 0.506
I 0.148 0.169 0.006
I 0.663 0.669 0.021
I 0.331 0.994 0.352
I 0.358 0.521 0.852
I 0.142 0.494 0.663
I 0.831 0.979 0.837
I 0.648 0.142 0.479
I 0.506 0.858 0.837
I 0.994 0.331 0.852
I 0.521 0.358 0.352
I 0.994 0.663 0.642
I 0.648 0.506 0.669
I 0.358 0.837 0.006
```

# Mg2AgI

Crystalline Mg2AgI at its relaxed geometry (PBE, the Alexandria database). Values from VASP.

Output
**Polymorph energy (0 for the lowest one)**: 0.227 eV per atom

The structure in Quantum ESPRESSO input format:
```
&SYSTEM
  ibrav = 0, nat = 4, ntyp = 3
/
ATOMIC_SPECIES
I 126.90 I.upf
Mg 24.30 Mg.upf
Ag 107.87 Ag.upf
CELL_PARAMETERS angstrom
0.939 0.288 5.150
-3.988 0.480 3.369
-1.286 -4.007 3.127
ATOMIC_POSITIONS crystal
I 0.500 0.500 0.500
Mg 0.250 0.250 0.250
Mg 0.750 0.750 0.750
Ag 0.000 0.000 0.000
```

DOS(E_F) / states/eV/cell: 23.378 2.378
Formation energy without anion corrections / eV/f.u.: -8.006 0.614